A plane-wave DFT calculation with PBE-GGA was carried out for an optimized crystal structure of Cu2TcSe.

Calculated values
**E_form (uncorrected)**: 0.239 eV/atom

```
data_Cu2TcSe
_chemical_formula_sum 'Cu4 Tc2 Se2'
_cell_length_a 8.848
_cell_length_b 3.056
_cell_length_c 4.593
_cell_angle_alpha 90.00
_cell_angle_beta 112.16
_cell_angle_gamma 90.00
_space_group_name_H-M_alt 'C 1 m 1'
_space_group_IT_number 8
_space_group_name_Hall 'C -2y'
loop_
_atom_site_label
_atom_site_fract_x
_atom_site_fract_y
_atom_site_fract_z
Cu1 0.000 0.000 0.000
Cu2 0.246 0.500 0.110
Tc1 0.002 0.500 0.511
Se1 0.230 0.000 0.573
```

---

A plane-wave DFT calculation with PBE-GGA was carried out for an optimized crystal structure of Th8ZnTe4Os3.

Calculated values
**E_form (uncorrected)**: -0.759 eV/atom

```
data_Th8ZnTe4Os3
_chemical_formula_sum 'Th24 Zn3 Te12 Os9'
_cell_length_a 8.4573
_cell_length_b 8.4573
_cell_length_c 23.0464
_cell_angle_alpha 90.00
_cell_angle_beta 90.00
_cell_angle_gamma 120.00
_space_group_name_H-M_alt 'R -3 m'
_space_group_IT_number 166
_space_group_name_Hall '-R 3 2"'
loop_
_atom_site_label
_atom_site_fract_x
_atom_site_fract_y
_atom_site_fract_z
Th1 0.0000 0.0000 0.2344
Th2 0.0154 0.5077 0.7656
Zn1 0.0000 0.0000 0.5000
Te1 0.0000 0.0000 0.0000
Te2 0.0000 0.5000 0.0000
Os1 0.0000 0.5000 0.5000
```

---

A plane-wave DFT calculation with PBE-GGA was carried out for an optimized crystal structure of FeNiAu.

Calculated values
**ΔE to the lowest computed polymorph**: 43 meV per atom
**E_form**: 101.4 meV/atom

```
data_FeNiAu
_chemical_formula_sum 'Fe4 Ni4 Au4'
_cell_length_a 8.347
_cell_length_b 3.815
_cell_length_c 5.382
_cell_angle_alpha 90.00
_cell_angle_beta 106.42
_cell_angle_gamma 90.00
_space_group_name_H-M_alt 'C 1 m 1'
_space_group_IT_number 8
_space_group_name_Hall 'C -2y'
loop_
_atom_site_label
_atom_site_fract_x
_atom_site_fract_y
_atom_site_fract_z
Fe1 0.000 0.000 0.000
Fe2 0.167 0.500 0.822
Ni1 0.163 0.500 0.324
Ni2 0.340 0.000 0.681
Au1 0.008 0.000 0.511
Au2 0.326 0.000 0.156
```

---

A plane-wave DFT calculation with PBE-GGA was carried out for an optimized crystal structure of FeMoRu2.

Calculated values
**ΔE to the lowest computed polymorph**: 100 meV per atom
**E_form**: 140.0 meV/atom

```
data_FeMoRu2
_chemical_formula_sum 'Fe3 Mo3 Ru6'
_cell_length_a 2.7214
_cell_length_b 2.7214
_cell_length_c 26.3672
_cell_angle_alpha 90.00
_cell_angle_beta 90.00
_cell_angle_gamma 120.00
_space_group_name_H-M_alt 'R -3 m'
_space_group_IT_number 166
_space_group_name_Hall '-R 3 2"'
loop_
_atom_site_label
_atom_site_fract_x
_atom_site_fract_y
_atom_site_fract_z
Fe1 0.0000 0.0000 0.0000
Mo1 0.0000 0.0000 0.5000
Ru1 0.0000 0.0000 0.2524
```

---

A plane-wave DFT calculation with PBE-GGA was carried out for an optimized crystal structure of VCdAu6.

Calculated values
**E_form**: -20.3 meV/atom

```
data_VCdAu6
_chemical_formula_sum 'V1 Cd1 Au6'
_cell_length_a 4.169
_cell_length_b 4.169
_cell_length_c 8.322
_cell_angle_alpha 90.00
_cell_angle_beta 90.00
_cell_angle_gamma 90.00
_space_group_name_H-M_alt 'P 4/m m m'
_space_group_IT_number 123
_space_group_name_Hall '-P 4 2'
loop_
_atom_site_label
_atom_site_fract_x
_atom_site_fract_y
_atom_site_fract_z
V1 0.000 0.000 0.000
Cd1 0.000 0.000 0.500
Au1 0.000 0.500 0.241
Au2 0.500 0.500 0.000
Au3 0.500 0.500 0.500
```

---

A plane-wave DFT calculation with PBE-GGA was carried out for an optimized crystal structure of LaCeEuHo.

Calculated values
**E_form**: 238.5 meV/atom

```
data_LaCeEuHo
_chemical_formula_sum 'La4 Ce4 Eu4 Ho4'
_cell_length_a 8.251
_cell_length_b 8.251
_cell_length_c 8.251
_cell_angle_alpha 90.00
_cell_angle_beta 90.00
_cell_angle_gamma 90.00
_space_group_name_H-M_alt 'F -4 3 m'
_space_group_IT_number 216
_space_group_name_Hall 'F -4 2 3'
loop_
_atom_site_label
_atom_site_fract_x
_atom_site_fract_y
_atom_site_fract_z
La1 0.000 0.000 0.000
Ce1 0.250 0.250 0.250
Eu1 0.250 0.250 0.750
Ho1 0.000 0.000 0.500
```

---

A plane-wave DFT calculation with PBE-GGA was carried out for an optimized crystal structure of Er4In2Ag.

Calculated values
**ΔE to the lowest computed polymorph**: 0 meV per atom
**E_form**: -263.4 meV/atom

```
data_Er4In2Ag
_chemical_formula_sum 'Er12 In6 Ag3'
_cell_length_a 5.1777
_cell_length_b 5.1777
_cell_length_c 25.2844
_cell_angle_alpha 90.00
_cell_angle_beta 90.00
_cell_angle_gamma 120.00
_space_group_name_H-M_alt 'R -3 m'
_space_group_IT_number 166
_space_group_name_Hall '-R 3 2"'
loop_
_atom_site_label
_atom_site_fract_x
_atom_site_fract_y
_atom_site_fract_z
Er1 0.0000 0.0000 0.1233
Er2 0.0000 0.0000 0.3740
In1 0.0000 0.0000 0.2511
Ag1 0.0000 0.0000 0.5000
```

---

A plane-wave DFT calculation with PBE-GGA was carried out for an optimized crystal structure of Zr2ScTlCo.

Calculated values
**E_form**: -6.5 meV/atom

```
data_Zr2ScTlCo
_chemical_formula_sum 'Zr2 Sc1 Tl1 Co1'
_cell_length_a 4.846
_cell_length_b 4.846
_cell_length_c 4.823
_cell_angle_alpha 90.00
_cell_angle_beta 90.00
_cell_angle_gamma 90.00
_space_group_name_H-M_alt 'P 4/m m m'
_space_group_IT_number 123
_space_group_name_Hall '-P 4 2'
loop_
_atom_site_label
_atom_site_fract_x
_atom_site_fract_y
_atom_site_fract_z
Zr1 0.000 0.500 0.000
Sc1 0.000 0.000 0.500
Tl1 0.500 0.500 0.500
Co1 0.000 0.000 0.000
```

---

no.,DOS at the Fermi energy (states/eV per cell)
1,7.3
2,36.6
3,13.7
4,9.2
5,6.7
6,47.7
7,16.0
8,7.1